Mg4Ni5: relaxed, PBE-GGA.

Lattice parameters (Å, degrees): 8.0868 8.0868 3.8660 90.00 90.00 90.00
Space group I4/mmm (No. 139)
Inequivalent atoms, fractional coordinates:
Mg: 0.0000 0.3026 0.0000 [8 per cell]
Ni: 0.0000 0.0000 0.0000 [2 per cell]
Ni: 0.1591 0.1591 0.5000 [8 per cell]

energy of formation = -85 meV/atom
spin magnetization = 0.00 μB per cell
calculated volume = 252.8 Å³ per cell
energy relative to the lowest polymorph listed for this composition = 0.0 kJ per mole of atoms